A.
This record from Alexandria describes an optimized crystal structure of Tm4CoRu. The functional is PBE-GGA.

Unit cell a=7.4270 b=7.4270 c=7.4270 alpha=106.93 beta=106.93 gamma=114.68
Sites, in units of the cell vectors:
Tm1 0.2540 0.9521 0.6981
Tm2 0.7463 0.4500 0.7037
Tm3 0.7021 0.5040 0.1981
Tm4 0.2000 0.9963 0.2037
Tm5 0.3058 0.5040 0.8019
Tm6 0.7925 0.9963 0.7963
Tm7 0.7463 0.0425 0.2963
Tm8 0.2540 0.5558 0.3019
Co1 0.7528 0.7528 0.0000
Co2 0.5028 0.0028 0.5000
Ru1 0.2467 0.2467 0.0000
Ru2 0.9967 0.4967 0.5000


B.
This record from Alexandria describes an optimized crystal structure of Tm4CoRu. The functional is PBE-GGA.

Unit cell a=6.0180 b=7.7160 c=7.7160 alpha=111.28 beta=108.33 gamma=108.33
Sites, in units of the cell vectors:
Tm1 0.7720 0.6370 0.7597
Tm2 0.0981 0.9514 0.3085
Tm3 0.7280 0.2403 0.3630
Tm4 0.4019 0.6915 0.0486
Tm5 0.5981 0.3085 0.9514
Tm6 0.2720 0.7597 0.6370
Tm7 0.9019 0.0486 0.6915
Tm8 0.2280 0.3630 0.2403
Co1 0.2500 0.9994 0.0006
Co2 0.7500 0.0006 0.9994
Ru1 0.7500 0.6355 0.3645
Ru2 0.2500 0.3645 0.6355


Least stable structure: A


A.
This record from Alexandria describes an optimized crystal structure of Tm6Co2Ru. The functional is PBE-GGA.

Unit cell a=6.4215 b=6.9635 c=9.4445 alpha=90.00 beta=87.30 gamma=90.00
Sites, in units of the cell vectors:
Tm1 0.8312 0.9618 0.2405
Tm2 0.8196 0.6664 0.5760
Tm3 0.8523 0.6663 0.9217
Tm4 0.6477 0.1663 0.5783
Tm5 0.6804 0.1664 0.9240
Tm6 0.6688 0.4618 0.2595
Tm7 0.1688 0.0382 0.7595
Tm8 0.1804 0.3336 0.4240
Tm9 0.1477 0.3337 0.0783
Tm10 0.3523 0.8337 0.4217
Tm11 0.3196 0.8336 0.0760
Tm12 0.3312 0.5382 0.7405
Co1 0.9676 0.3537 0.7024
Co2 0.5324 0.8537 0.7976
Co3 0.4676 0.1463 0.2024
Co4 0.0324 0.6463 0.2976
Ru1 0.5000 0.5000 0.0000
Ru2 0.0000 0.0000 0.5000


B.
This record from Alexandria describes an optimized crystal structure of Tm6Co2Ru. The functional is PBE-GGA.

Unit cell a=8.0367 b=8.0367 c=8.0367 alpha=108.06 beta=110.25 gamma=110.12
Sites, in units of the cell vectors:
Tm1 0.5636 0.7400 0.8236
Tm2 0.4364 0.2600 0.1764
Tm3 0.0836 0.2600 0.8236
Tm4 0.9164 0.7400 0.1764
Tm5 0.8133 0.7392 0.5525
Tm6 0.1867 0.2608 0.4475
Tm7 0.1867 0.7392 0.9259
Tm8 0.8133 0.2608 0.0741
Tm9 0.6868 0.3589 0.6721
Tm10 0.3132 0.6411 0.3279
Tm11 0.3132 0.9852 0.6721
Tm12 0.6868 0.0148 0.3279
Co1 0.5000 0.3854 0.8854
Co2 0.5000 0.6146 0.1146
Co3 0.6627 0.0000 0.6627
Co4 0.3373 0.0000 0.3373
Ru1 0.0000 0.5000 0.5000
Ru2 0.0000 0.0000 0.0000


Least stable structure: A